Entry 1:
The following is a PBE calculation of an optimized crystal structure of ScAlI2O, from the Alexandria database.

Properties
For the formation energy (no corrections), the calculation gives -1.164 eV per atom. Its symmetry is P4/mmm, No. 123. Its crystal system is tetragonal.

abc: 6.0127 6.0127 3.9095
angles: 90.00 90.00 90.00
Sites, in units of the cell vectors:
Sc  0.0000  0.0000  0.0000
Al  0.5000  0.5000  0.5000
I  0.0000  0.5000  0.0000
I  0.5000  0.0000  0.0000
O  0.0000  0.0000  0.5000



Entry 2:
The following is a PBE calculation of an optimized crystal structure of ScAlI2O, from the Alexandria database.

Properties
For the formation energy (no corrections), the calculation gives -0.847 eV per atom. Its symmetry is P4/mmm, No. 123. Its crystal system is tetragonal.

abc: 5.8012 5.8012 3.5129
angles: 90.00 90.00 90.00
Sites, in units of the cell vectors:
Sc  0.0000  0.0000  0.0000
Al  0.5000  0.5000  0.5000
I  0.0000  0.5000  0.5000
I  0.5000  0.0000  0.5000
O  0.5000  0.5000  0.0000



Entry 3:
The following is a PBE calculation of an optimized crystal structure of AlSeI2O, from the Alexandria database.

Properties
For the formation energy (no corrections), the calculation gives -0.518 eV per atom. Its symmetry is P4/mmm, No. 123. Its crystal system is tetragonal.

abc: 5.8896 5.8896 3.4120
angles: 90.00 90.00 90.00
Sites, in units of the cell vectors:
Al  0.0000  0.0000  0.0000
Se  0.5000  0.5000  0.5000
I  0.0000  0.5000  0.0000
I  0.5000  0.0000  0.0000
O  0.0000  0.0000  0.5000



Entry 4:
The following is a PBE calculation of an optimized crystal structure of AlSeI2O, from the Alexandria database.

Properties
For the formation energy (no corrections), the calculation gives 0.061 eV per atom. Its symmetry is P4/mmm, No. 123. Its crystal system is tetragonal.

abc: 5.9968 5.9968 3.8518
angles: 90.00 90.00 90.00
Sites, in units of the cell vectors:
Al  0.0000  0.0000  0.0000
Se  0.5000  0.5000  0.5000
I  0.0000  0.5000  0.5000
I  0.5000  0.0000  0.5000
O  0.5000  0.5000  0.0000



Entry 5:
The following is a PBE calculation of an optimized crystal structure of AlSiIO2, from the Alexandria database.

Properties
For the formation energy (no corrections), the calculation gives -0.549 eV per atom. Its symmetry is P4/mmm, No. 123. Its crystal system is tetragonal.

abc: 3.8189 3.8189 5.6032
angles: 90.00 90.00 90.00
Sites, in units of the cell vectors:
Al  0.0000  0.0000  0.0000
Si  0.5000  0.5000  0.5000
I  0.0000  0.0000  0.5000
O  0.0000  0.5000  0.0000
O  0.5000  0.0000  0.0000



Entry 6:
The following is a PBE calculation of an optimized crystal structure of AlSiIO2, from the Alexandria database.

Properties
For the formation energy (no corrections), the calculation gives -0.457 eV per atom. Its symmetry is P4/mmm, No. 123. Its crystal system is tetragonal.

abc: 3.7886 3.7886 5.5028
angles: 90.00 90.00 90.00
Sites, in units of the cell vectors:
Al  0.0000  0.0000  0.0000
Si  0.5000  0.5000  0.5000
I  0.5000  0.5000  0.0000
O  0.0000  0.5000  0.5000
O  0.5000  0.0000  0.5000